Computed, not measured: LaPrGe4Os2 after structural relaxation at the PBE level of DFT.

The total moment comes out at 0.00 Bohr magnetons per cell. Its space-group type is Pm, No. 6. Its calculated total energy is -6.858 eV per atom.

Cell lengths 4.5489, 4.4628, 8.5066 Å; angles 90.00, 104.16, 90.00 degrees
Fractional positions:
La  0.0000  0.0000  0.0000
Pr  0.7782  0.5000  0.5836
Ge  0.0692  0.5000  0.2953
Ge  0.3427  0.0000  0.6996
Ge  0.4355  0.5000  0.8839
Ge  0.7069  0.0000  0.2905
Os  0.2714  0.0000  0.4075
Os  0.5041  0.5000  0.1773

=====

Computed, not measured: LaSiGeOs after structural relaxation at the PBE level of DFT.

The total moment comes out at 0.01 Bohr magnetons per cell. Its space-group type is P2_1/m, No. 11. Its calculated total energy is -7.290 eV per atom.

Cell lengths 4.5306, 4.2630, 8.5035 Å; angles 90.00, 102.64, 90.00 degrees
Fractional positions:
La  0.0998  0.2500  0.2076
La  0.9002  0.7500  0.7924
Si  0.1703  0.7500  0.4982
Si  0.8297  0.2500  0.5018
Ge  0.4533  0.2500  0.9031
Ge  0.5467  0.7500  0.0969
Os  0.3794  0.2500  0.6062
Os  0.6206  0.7500  0.3938

=====

Computed, not measured: LaSiGe2Os after structural relaxation at the PBE level of DFT.

The total moment comes out at 0.01 Bohr magnetons per cell. Its space-group type is I4mm, No. 107. Its calculated total energy is -6.712 eV per atom.

Cell lengths 4.4280, 4.4280, 10.0868 Å; angles 90.00, 90.00, 90.00 degrees
Fractional positions:
La  0.0000  0.0000  0.0000
La  0.5000  0.5000  0.5000
Si  0.0000  0.0000  0.5744
Si  0.5000  0.5000  0.0744
Ge  0.0000  0.5000  0.2370
Ge  0.0000  0.5000  0.7370
Ge  0.5000  0.0000  0.2370
Ge  0.5000  0.0000  0.7370
Os  0.0000  0.0000  0.3461
Os  0.5000  0.5000  0.8461